1.
Entry from the Open Quantum Materials Database: CsPuHf after structural relaxation (GGA-PBE).

The uncorrected energy comes out at -0.3792 Ry per atom.

Lattice parameters (Å, degrees): 6.082 6.082 6.082 60.00 60.00 60.00
Element x y z (fractional)
Cs (0.000, 0.000, 0.000)
Pu (0.250, 0.250, 0.250)
Hf (0.750, 0.750, 0.750)

***

2.
Entry from the Open Quantum Materials Database: Tm2PdO4 after structural relaxation (GGA-PBE).

Its energy relative to the lowest polymorph listed for this composition is 0.001 eV/atom.

Lattice parameters (Å, degrees): 5.506 5.528 11.621 90.00 90.00 90.00
Element x y z (fractional)
O (0.742, 0.712, 0.744)
O (0.827, 0.674, 0.991)
O (0.758, 0.288, 0.244)
O (0.673, 0.326, 0.491)
O (0.173, 0.174, 0.509)
O (0.173, 0.326, 0.009)
O (0.327, 0.674, 0.509)
O (0.242, 0.712, 0.756)
O (0.258, 0.212, 0.756)
O (0.242, 0.788, 0.256)
O (0.742, 0.788, 0.244)
O (0.258, 0.288, 0.256)
O (0.827, 0.826, 0.491)
O (0.673, 0.174, 0.991)
O (0.327, 0.826, 0.009)
O (0.758, 0.212, 0.744)
Tm (0.992, 0.036, 0.340)
Tm (0.992, 0.464, 0.840)
Tm (0.008, 0.964, 0.660)
Tm (0.508, 0.536, 0.340)
Tm (0.492, 0.036, 0.160)
Tm (0.508, 0.964, 0.840)
Tm (0.492, 0.464, 0.660)
Tm (0.008, 0.536, 0.160)
Pd (0.000, 0.500, 0.500)
Pd (0.000, 0.000, 0.000)
Pd (0.500, 0.000, 0.500)
Pd (0.500, 0.500, 0.000)